Material: Li2CeVF8
Method: DFT, GGA+U
State: relaxed

Properties
As for the crystal system: monoclinic. The value obtained for the total energy is -5.912 eV per atom.

a b c (Å): 4.7722 4.7762 6.9988
angles (deg): 87.51 87.53 87.70
Last column: nearest neighbours and their distance in Å.
Sites, in units of the cell vectors:
F  0.7934  0.1928  0.2225  1 Li 2.00, 1 V 2.04
F  0.2066  0.8072  0.7775  1 Li 2.00, 1 V 2.04
F  0.8067  0.2062  0.7774  1 Li 2.00, 1 V 2.04
F  0.6836  0.6835  0.5433  1 Li 2.03, 1 Ce 2.18
F  0.3164  0.3165  0.4567  1 Li 2.03, 1 Ce 2.18
F  0.1933  0.7938  0.2226  1 Li 2.00, 1 V 2.04
F  0.2867  0.2871  0.9933  1 V 1.97, 2 Li 2.00-2.08
F  0.7133  0.7129  0.0067  1 V 1.97, 2 Li 2.00-2.08
Ce  0.0000  0.0000  0.5000  6 F 2.18-2.35
Li  0.4732  0.4733  0.2009  5 F 2.00-2.08
Li  0.5268  0.5267  0.7991  5 F 2.00-2.08
V  0.0000  0.0000  0.0000  6 F 1.97-2.04